Entry from the Open Quantum Materials Database: a geometry-optimized La2TbSn3Pb4 structure (PBE-GGA).

Summary:
SG: Cmmm (65)
V, Å³/atom: 29.15
Energy above the lowest structure with this stoichiometry, meV/atom: 0.0
Raw total energy, Ry per atom: -0.3413

Unit cell a=13.374 b=13.374 c=4.773 alpha=90.00 beta=90.00 gamma=160.03
Element x y z (fractional)
La1 0.187 0.813 0.000
La2 0.813 0.187 0.000
Tb1 0.000 0.000 0.000
Sn1 0.289 0.711 0.500
Sn2 0.500 0.500 0.500
Sn3 0.711 0.289 0.500
Pb1 0.094 0.906 0.500
Pb2 0.407 0.593 0.000
Pb3 0.593 0.407 0.000
Pb4 0.906 0.094 0.500